(1)
Rb3Li2F6: optimized geometry, GGA-PBE.

As for the crystal system: tetragonal. For the magnetic moment, the calculation gives 2.2 μB/cell.

The structure belongs to space group I4/mmm (No. 139); the cell edges are 4.040, 4.040 and 23.013 Å and the angles 90.00°, 90.00° and 90.00°. The asymmetric unit holds Rb at (0.000, 0.000, 0.000), Rb at (0.000, 0.000, 0.183), Li at (0.000, 0.000, 0.393), F at (0.000, 0.000, 0.309) and F at (0.000, 0.500, 0.088).

---

(2)
PrNd2SmTe5: optimized geometry, GGA-PBE.

As for the crystal system: tetragonal. For the magnetic moment, the calculation gives 0.6 μB/cell.

The structure belongs to space group P4/mmm (No. 123); the cell edges are 5.631, 5.631 and 11.953 Å and the angles 90.00°, 90.00° and 90.00°. The asymmetric unit holds Pr at (0.000, 0.000, 0.000), Nd at (0.500, 0.500, 0.348), Sm at (0.000, 0.000, 0.500), Te at (0.000, 0.000, 0.249), Te at (0.000, 0.500, 0.500) and Te at (0.500, 0.500, 0.000).

---

Quick rundown of formation energy without anion corrections, same order as above: -2.530, -0.788 eV/atom